Record 1
DFT (PBE) results for Ba3VRu after structural relaxation.

Unit cell a=5.8928 b=5.8928 c=5.8928 alpha=90.00 beta=90.00 gamma=90.00
Atoms (fractional coordinates):
Ba: 0.0000 0.0000 0.5000
Ba: 0.0000 0.5000 0.0000
Ba: 0.5000 0.0000 0.0000
V: 0.5000 0.5000 0.5000
Ru: 0.0000 0.0000 0.0000

distance to the lowest polymorph of the same formula	0.0000	eV per atom
calculated total energy	-4.071	eV/atom
ΔH_f (0 K)	0.762	eV/atom

---

Record 2
DFT (PBE) results for BaVRu2 after structural relaxation.

Unit cell a=4.7427 b=4.7427 c=4.7427 alpha=60.00 beta=60.00 gamma=60.00
Atoms (fractional coordinates):
Ba: 0.0000 0.0000 0.0000
V: 0.5000 0.5000 0.5000
Ru: 0.2500 0.2500 0.2500
Ru: 0.7500 0.7500 0.7500

distance to the lowest polymorph of the same formula	0.1883	eV per atom
calculated total energy	-6.508	eV/atom
ΔH_f (0 K)	0.891	eV/atom

---

Record 3
DFT (PBE) results for Ba2V4Ru after structural relaxation.

Unit cell a=9.2354 b=9.2354 c=9.2354 alpha=149.46 beta=149.46 gamma=43.74
Atoms (fractional coordinates):
Ba: 0.1520 0.1520 0.0000
Ba: 0.8480 0.8480 0.0000
V: 0.0000 0.5000 0.5000
V: 0.3626 0.3626 0.0000
V: 0.5000 0.0000 0.5000
V: 0.6374 0.6374 0.0000
Ru: 0.5000 0.5000 0.0000

calculated total energy	-6.101	eV/atom
ΔH_f (0 K)	0.984	eV/atom

---

Record 4
DFT (PBE) results for BaRu2W after structural relaxation.

Unit cell a=3.1585 b=3.1688 c=7.9905 alpha=90.00 beta=90.49 gamma=90.00
Atoms (fractional coordinates):
Ba: 0.0000 0.0000 0.0000
Ru: 0.4991 0.5000 0.3207
Ru: 0.5009 0.5000 0.6793
W: 0.0000 0.0000 0.5000

distance to the lowest polymorph of the same formula	0.0000	eV per atom
calculated total energy	-7.954	eV/atom
ΔH_f (0 K)	0.403	eV/atom

---

Record 5
DFT (PBE) results for BaRu2W after structural relaxation.

Unit cell a=9.5574 b=9.5574 c=9.5574 alpha=19.08 beta=19.08 gamma=19.08
Atoms (fractional coordinates):
Ba: 0.0000 0.0000 0.0000
Ru: 0.2303 0.2303 0.2303
Ru: 0.7697 0.7697 0.7697
W: 0.5000 0.5000 0.5000

distance to the lowest polymorph of the same formula	0.3442	eV per atom
calculated total energy	-7.610	eV/atom
ΔH_f (0 K)	0.747	eV/atom

---

Record 6
DFT (PBE) results for Ba2RuW after structural relaxation.

Unit cell a=6.2391 b=6.2391 c=6.2391 alpha=139.60 beta=139.60 gamma=58.47
Atoms (fractional coordinates):
Ba: 0.2500 0.7500 0.5000
Ba: 0.7500 0.2500 0.5000
Ru: 0.0000 0.0000 0.0000
W: 0.5000 0.5000 0.0000

distance to the lowest polymorph of the same formula	1.1096	eV per atom
calculated total energy	-5.015	eV/atom
ΔH_f (0 K)	1.503	eV/atom

---

Record 7
DFT (PBE) results for Ba2RuW after structural relaxation.

Unit cell a=10.0375 b=10.0375 c=3.8277 alpha=100.81 beta=100.81 gamma=19.97
Atoms (fractional coordinates):
Ba: 0.1448 0.1448 0.1427
Ba: 0.8552 0.8552 0.8573
Ru: 0.5000 0.5000 0.0000
W: 0.0000 0.0000 0.5000

distance to the lowest polymorph of the same formula	0.2332	eV per atom
calculated total energy	-5.892	eV/atom
ΔH_f (0 K)	0.627	eV/atom

---

Record 8
DFT (PBE) results for BaRu2W after structural relaxation.

Unit cell a=4.9087 b=4.9087 c=6.4641 alpha=100.57 beta=100.57 gamma=38.17
Atoms (fractional coordinates):
Ba: 0.0000 0.0000 0.0000
Ru: 0.2181 0.2181 0.6797
Ru: 0.4992 0.4992 0.4707
W: 0.7922 0.7922 0.4349

distance to the lowest polymorph of the same formula	0.2849	eV per atom
calculated total energy	-7.669	eV/atom
ΔH_f (0 K)	0.688	eV/atom

---

Record 9
DFT (PBE) results for BaRu2W after structural relaxation.

Unit cell a=3.1583 b=4.5299 c=5.4134 alpha=90.00 beta=90.00 gamma=90.00
Atoms (fractional coordinates):
Ba: 0.0000 0.0000 0.0000
Ru: 0.0000 0.5000 0.5000
Ru: 0.5000 0.5000 0.0000
W: 0.5000 0.0000 0.5000

distance to the lowest polymorph of the same formula	1.0308	eV per atom
calculated total energy	-6.923	eV/atom
ΔH_f (0 K)	1.434	eV/atom

---

Record 10
DFT (PBE) results for BaRu2W after structural relaxation.

Unit cell a=4.7596 b=4.7596 c=4.7596 alpha=60.00 beta=60.00 gamma=60.00
Atoms (fractional coordinates):
Ba: 0.0000 0.0000 0.0000
Ru: 0.2500 0.2500 0.2500
Ru: 0.7500 0.7500 0.7500
W: 0.5000 0.5000 0.5000

distance to the lowest polymorph of the same formula	0.6954	eV per atom
calculated total energy	-7.259	eV/atom
ΔH_f (0 K)	1.098	eV/atom

---

Record 11
DFT (PBE) results for BaRu2W after structural relaxation.

Unit cell a=5.9990 b=5.9990 c=5.9990 alpha=150.54 beta=129.84 gamma=59.25
Atoms (fractional coordinates):
Ba: 0.0000 0.0000 0.0000
Ru: 0.4749 0.4749 0.0000
Ru: 0.7094 0.2094 0.5000
W: 0.2881 0.7881 0.5000

distance to the lowest polymorph of the same formula	0.6333	eV per atom
calculated total energy	-7.321	eV/atom
ΔH_f (0 K)	1.036	eV/atom

---

Record 12
DFT (PBE) results for BaRu2W after structural relaxation.

Unit cell a=4.7144 b=4.7144 c=4.7144 alpha=60.00 beta=60.00 gamma=60.00
Atoms (fractional coordinates):
Ba: 0.0000 0.0000 0.0000
Ru: 0.2500 0.2500 0.2500
Ru: 0.5000 0.5000 0.5000
W: 0.7500 0.7500 0.7500

distance to the lowest polymorph of the same formula	0.8970	eV per atom
calculated total energy	-7.057	eV/atom
ΔH_f (0 K)	1.300	eV/atom

---

Record 13
DFT (PBE) results for Ba2RuW after structural relaxation.

Unit cell a=10.7867 b=10.7867 c=10.7867 alpha=17.73 beta=17.73 gamma=17.73
Atoms (fractional coordinates):
Ba: 0.2435 0.2435 0.2435
Ba: 0.7565 0.7565 0.7565
Ru: 0.5000 0.5000 0.5000
W: 0.0000 0.0000 0.0000

distance to the lowest polymorph of the same formula	1.1768	eV per atom
calculated total energy	-4.948	eV/atom
ΔH_f (0 K)	1.570	eV/atom

---

Record 14
DFT (PBE) results for Ba2RuW after structural relaxation.

Unit cell a=5.2331 b=5.2331 c=5.2331 alpha=60.00 beta=60.00 gamma=60.00
Atoms (fractional coordinates):
Ba: 0.0000 0.0000 0.0000
Ba: 0.2500 0.2500 0.2500
Ru: 0.7500 0.7500 0.7500
W: 0.5000 0.5000 0.5000

distance to the lowest polymorph of the same formula	1.0465	eV per atom
calculated total energy	-5.079	eV/atom
ΔH_f (0 K)	1.440	eV/atom

---

Record 15
DFT (PBE) results for BaRu2W after structural relaxation.

Unit cell a=2.9090 b=2.9090 c=9.2396 alpha=90.00 beta=90.00 gamma=90.20
Atoms (fractional coordinates):
Ba: 0.0000 0.0000 0.0000
Ru: 0.0000 0.0000 0.4748
Ru: 0.5000 0.5000 0.2961
W: 0.5000 0.5000 0.6775

distance to the lowest polymorph of the same formula	0.5133	eV per atom
calculated total energy	-7.441	eV/atom
ΔH_f (0 K)	0.916	eV/atom